Record 1
This record from Alexandria describes ScTi5Os6 after structural relaxation. The functional is GGA-PBE.

Output
As for the energy relative to the elements: -0.659 eV per atom. The calculation puts the total energy at -121.1 eV for the cell shown. The calculation puts the mass density at 13099 kg/m³.

Cell and atoms, written as extended XYZ:
```
12
Lattice="4.225 0.020 -1.230 -0.854 5.471 -2.849 -0.069 0.405 7.604" Properties=species:S:1:pos:R:3 pbc="T T T"
Os 0.331 2.454 1.163
Os 1.478 4.075 -2.732
Os 3.392 0.744 3.767
Os -0.090 5.152 -0.242
Os 1.824 1.820 6.257
Os 2.971 3.442 2.362
Ti 2.652 1.062 1.243
Ti 2.224 3.794 -0.186
Ti 0.650 4.833 2.282
Ti -0.427 2.735 -1.424
Ti 1.078 2.101 3.711
Sc 0.000 0.000 0.000
```


Record 2
This record from Alexandria describes ScTi3Os after structural relaxation. The functional is GGA-PBE.

Output
As for the energy relative to the elements: 0.304 eV per atom. Its distance to the lowest polymorph of the same formula is 0 kJ/mol of formula units. The calculation puts the total energy at -39.7 eV for the cell shown. The calculation puts the mass density at 5814 kg/m³.

Cell and atoms, written as extended XYZ:
```
5
Lattice="4.765 0.000 0.000 0.000 4.765 0.000 0.000 0.000 4.765" Properties=species:S:1:pos:R:3 pbc="T T T"
Ti 0.000 2.382 0.000
Ti 2.382 0.000 0.000
Ti 0.000 0.000 2.382
Os 0.000 0.000 0.000
Sc 2.382 2.382 2.382
```


Question: Which formula does entry 1 have?
Answer: ScTi5Os6


Question: Which of these has the highest mass density?
Answer: ScTi5Os6